Record 1
96
Lattice="9.6401 -5.5568 0.0000 9.6401 5.5568 0.0000 -6.3332 0.0000 12.5984" Properties=species:S:1:pos:R:3 comment="K2ZrSi2O7 | the Alexandria database | PBEsol | relaxed" dos_ef_per_ev_atom=0.000 energy_ev_per_atom=-7.7970 relative_energy_ev_per_atom=0.0033 pbc="T T T"
K 3.3040 2.8113 7.2220
K 1.6125 0.0000 0.9827
K 6.4694 2.7463 0.9140
K -1.5589 0.0000 7.7367
K 1.7008 0.0000 11.1595
K 9.6429 2.8113 5.3764
K 4.8597 0.0000 5.3171
K 6.4775 2.7463 11.6844
K 6.4694 -2.7463 0.9140
K 8.0872 0.0000 7.2813
K 3.3040 -2.8113 7.2220
K 11.2462 0.0000 1.4389
K 14.5058 0.0000 4.8618
K 6.4775 -2.7463 11.6844
K 11.3344 0.0000 11.6158
K 9.6429 -2.8113 5.3764
Zr 3.2361 2.7297 3.1497
Zr -4.7015 0.0000 9.8819
Zr 4.8444 0.0000 9.0162
Zr 3.2361 -2.7297 3.1497
Zr 9.7108 2.7297 9.4488
Zr 8.1026 0.0000 3.5822
Zr 17.6485 0.0000 2.7165
Zr 9.7108 -2.7297 9.4488
Si 1.4893 0.0000 4.6210
Si 6.4496 2.9064 4.7783
Si -1.4618 0.0000 11.2135
Si 3.2848 2.6505 11.0776
Si 6.4973 2.9064 7.8202
Si 1.6039 0.0000 7.6852
Si 4.9824 0.0000 1.6784
Si 9.6621 2.6505 1.5208
Si 3.2848 -2.6505 11.0776
Si 7.9646 0.0000 10.9201
Si 11.3430 0.0000 4.9133
Si 6.4496 -2.9064 4.7783
Si 9.6621 -2.6505 1.5208
Si 14.4088 0.0000 1.3850
Si 6.4973 -2.9064 7.8202
Si 11.4576 0.0000 7.9774
O 0.1369 0.0000 3.7273
O 7.1163 4.0531 3.8237
O -0.8867 1.3462 10.5221
O 1.7092 2.8789 10.7373
O 2.3786 1.3397 4.4325
O 4.8736 2.6787 4.4388
O 8.8220 4.0450 1.4696
O -3.0848 0.0000 11.2919
O 4.0929 1.3400 1.8652
O 4.1250 4.0450 11.1289
O 1.0291 1.3459 8.3774
O 5.8306 4.0531 8.7748
O 6.4735 3.6020 6.2992
O 0.9017 0.0000 6.1750
O 5.5730 0.0000 0.1255
O 9.6401 1.9546 0.0000
O 3.9521 1.5038 10.1234
O -0.8867 -1.3462 10.5221
O 2.3786 -1.3397 4.4325
O 5.6572 1.5118 7.7692
O 3.2269 0.0000 7.6064
O 7.2897 1.5118 4.8292
O 11.2377 2.8789 1.8611
O 4.0929 -1.3400 1.8652
O 8.0733 2.6787 8.1597
O 1.0291 -1.3459 8.3774
O 6.3333 0.0000 2.5740
O 8.9949 1.5038 2.4751
O 3.9521 -1.5038 10.1234
O 6.6136 0.0000 10.0244
O 11.9178 1.3459 4.2211
O 4.8736 -2.6787 4.4388
O 8.8540 1.3400 10.7333
O 1.7092 -2.8789 10.7373
O 5.6572 -1.5118 7.7692
O 9.7200 0.0000 4.9920
O 7.2897 -1.5118 4.8292
O 10.5683 1.3397 8.1659
O 13.8336 1.3462 2.0764
O 8.9949 -1.5038 2.4751
O 9.6401 -1.9546 0.0000
O 7.3740 0.0000 12.4730
O 12.0452 0.0000 6.4235
O 6.4735 -3.6020 6.2992
O 7.1163 -4.0531 3.8237
O 11.9178 -1.3459 4.2211
O 8.8220 -4.0450 1.4696
O 8.8540 -1.3400 10.7333
O 16.0318 0.0000 1.3065
O 4.1250 -4.0450 11.1289
O 8.0733 -2.6787 8.1597
O 10.5683 -1.3397 8.1659
O 11.2377 -2.8789 1.8611
O 13.8336 -1.3462 2.0764
O 5.8306 -4.0531 8.7748
O 12.8100 0.0000 8.8711

Record 2
5
Lattice="5.6972 0.0000 0.0000 0.0000 5.6972 0.0000 0.0000 0.0000 5.6972" Properties=species:S:1:pos:R:3 comment="YSiPb3 | the Alexandria database | PBEsol | relaxed" dos_ef_per_ev_atom=0.784 energy_ev_per_atom=-3.9560 pbc="T T T"
Y 0.0000 0.0000 0.0000
Si 2.8486 2.8486 2.8486
Pb 0.0000 0.0000 2.8486
Pb 0.0000 2.8486 0.0000
Pb 2.8486 0.0000 0.0000

Record 3
4
Lattice="2.0477 1.1823 6.5951 -2.0477 1.1823 6.5951 0.0000 -2.3645 6.5951" Properties=species:S:1:pos:R:3 comment="AgSb2Se | the Alexandria database | PBEsol | relaxed" dos_ef_per_ev_atom=0.547 energy_ev_per_atom=-4.0958 pbc="T T T"
Ag 0.0000 0.0000 0.0000
Sb 0.0000 0.0000 4.9457
Sb 0.0000 0.0000 9.7744
Se 0.0000 0.0000 14.5457

Record 4
5
Lattice="4.8672 0.0000 0.0000 0.0000 4.8672 0.0000 0.0000 0.0000 4.8233" Properties=species:S:1:pos:R:3 comment="MnFeAsBr2 | the Alexandria database | PBEsol | relaxed" dos_ef_per_ev_atom=1.447 energy_ev_per_atom=-4.7945 pbc="T T T"
Mn 0.0000 0.0000 0.0000
Fe 2.4336 2.4336 2.4117
As 0.0000 0.0000 2.4117
Br 0.0000 2.4336 0.0000
Br 2.4336 0.0000 0.0000

Record 5
4
Lattice="3.5956 0.0000 0.0000 0.0000 3.5956 0.0000 0.0000 0.0000 5.5261" Properties=species:S:1:pos:R:3 comment="ZnInAu2 | the Alexandria database | PBEsol | relaxed" dos_ef_per_ev_atom=0.270 energy_ev_per_atom=-3.2652 pbc="T T T"
Zn 0.0000 0.0000 0.0000
In 1.7978 1.7978 3.8710
Au 0.0000 0.0000 2.6547
Au 1.7978 1.7978 1.0489

Record 6
6
Lattice="0.0000 3.5860 3.5860 3.5860 0.0000 3.5860 3.5860 3.5860 0.0000" Properties=species:S:1:pos:R:3 comment="YScCu4 | the Alexandria database | PBEsol | relaxed" dos_ef_per_ev_atom=0.891 energy_ev_per_atom=-5.3065 pbc="T T T"
Y 0.0000 0.0000 0.0000
Sc 5.3790 5.3790 5.3790
Cu 2.6954 2.6954 2.6954
Cu 4.4766 4.4766 2.6954
Cu 4.4766 2.6954 4.4766
Cu 2.6954 4.4766 4.4766

Record 7
5
Lattice="-1.9774 1.9774 5.6253 1.9774 -1.9774 5.6253 1.9774 1.9774 -5.6253" Properties=species:S:1:pos:R:3 comment="NaCu2Au2 | the Alexandria database | PBEsol | relaxed" dos_ef_per_ev_atom=0.300 energy_ev_per_atom=-3.4911 relative_energy_ev_per_atom=0.1997 pbc="T T T"
Na 0.0000 0.0000 0.0000
Cu 0.0000 0.0000 4.4690
Cu 0.0000 0.0000 6.7816
Au 1.9774 0.0000 2.8126
Au 0.0000 1.9774 2.8126

Record 8
4
Lattice="1.3416 0.7746 7.4534 -1.3416 0.7746 7.4534 0.0000 -1.5492 7.4534" Properties=species:S:1:pos:R:3 comment="Cr2SiP | the Alexandria database | PBEsol | relaxed" dos_ef_per_ev_atom=1.147 energy_ev_per_atom=-8.1431 relative_energy_ev_per_atom=0.0968 pbc="T T T"
Cr 0.0000 0.0000 5.4976
Cr 0.0000 0.0000 16.8626
Si 0.0000 0.0000 0.0000
P 0.0000 0.0000 11.1801

Record 9
5
Lattice="6.2082 0.0000 0.0000 0.0000 6.2082 0.0000 0.0000 0.0000 6.2082" Properties=species:S:1:pos:R:3 comment="K3TiBe | the Alexandria database | PBEsol | relaxed" dos_ef_per_ev_atom=2.140 energy_ev_per_atom=-1.7905 pbc="T T T"
K 0.0000 0.0000 3.1041
K 0.0000 3.1041 0.0000
K 3.1041 0.0000 0.0000
Ti 3.1041 3.1041 3.1041
Be 0.0000 0.0000 0.0000

Record 10
6
Lattice="2.9085 0.0000 0.0000 0.0000 4.6119 0.0000 -1.4337 0.0000 7.2039" Properties=species:S:1:pos:R:3 comment="ZnAg5 | the Alexandria database | PBEsol | relaxed" dos_ef_per_ev_atom=0.258 energy_ev_per_atom=-3.0401 relative_energy_ev_per_atom=0.0068 pbc="T T T"
Zn 0.0000 0.0000 0.0000
Ag 0.0002 2.3059 3.1233
Ag 0.0153 0.0000 4.8563
Ag 1.4457 2.3059 0.6908
Ag 1.4623 0.0000 2.3413
Ag 1.4634 2.3059 5.5355

Record 11
5
Lattice="-2.4659 2.4659 4.1039 2.4659 -2.4659 4.1039 2.4659 2.4659 -4.1039" Properties=species:S:1:pos:R:3 comment="HfCr2Bi2 | the Alexandria database | PBEsol | relaxed" dos_ef_per_ev_atom=0.899 energy_ev_per_atom=-7.3301 pbc="T T T"
Hf 0.0000 0.0000 0.0000
Cr 0.0000 0.0000 3.1604
Cr 0.0000 0.0000 5.0474
Bi 2.4659 0.0000 2.0519
Bi 0.0000 2.4659 2.0519

Record 12
4
Lattice="1.3516 0.7803 6.6348 -1.3516 0.7803 6.6348 0.0000 -1.5607 6.6348" Properties=species:S:1:pos:R:3 comment="TcRhO2 | the Alexandria database | PBEsol | relaxed" dos_ef_per_ev_atom=0.553 energy_ev_per_atom=-8.3894 pbc="T T T"
Tc 0.0000 0.0000 0.0000
Rh 0.0000 0.0000 9.9522
O 0.0000 0.0000 7.9705
O 0.0000 0.0000 11.9340

Record 13
5
Lattice="4.2775 0.0000 0.0000 0.0000 4.2775 0.0000 0.0000 0.0000 4.2775" Properties=species:S:1:pos:R:3 comment="YTcN3 | the Alexandria database | PBEsol | relaxed" dos_ef_per_ev_atom=0.414 energy_ev_per_atom=-6.9771 pbc="T T T"
Y 0.0000 0.0000 0.0000
Tc 2.1388 2.1388 2.1388
N 0.0000 0.0000 2.1388
N 0.0000 2.1388 0.0000
N 2.1388 0.0000 0.0000

Record 14
4
Lattice="3.4256 0.0000 0.0000 0.0000 3.4256 0.0000 0.0000 0.0000 6.7151" Properties=species:S:1:pos:R:3 comment="LiSc2Ag | the Alexandria database | PBEsol | relaxed" dos_ef_per_ev_atom=0.920 energy_ev_per_atom=-4.6728 pbc="T T T"
Li 0.0000 0.0000 0.0000
Sc 1.7128 1.7128 1.7069
Sc 1.7128 1.7128 5.0083
Ag 0.0000 0.0000 3.3576

Record 15
10
Lattice="0.0000 5.6223 5.6223 5.6223 0.0000 5.6223 5.6223 5.6223 0.0000" Properties=species:S:1:pos:R:3 comment="K2RbYCl6 | the Alexandria database | PBEsol | relaxed" dos_ef_per_ev_atom=0.000 energy_ev_per_atom=-4.2338 pbc="T T T"
K 2.8111 2.8111 2.8111
K 8.4334 8.4334 8.4334
Rb 0.0000 0.0000 0.0000
Y 5.6223 5.6223 5.6223
Cl 5.6223 5.6223 3.0264
Cl 5.6223 3.0264 5.6223
Cl 8.2181 5.6223 5.6223
Cl 3.0264 5.6223 5.6223
Cl 5.6223 8.2181 5.6223
Cl 5.6223 5.6223 8.2181

Record 16
4
Lattice="-2.2979 2.2979 4.8556 2.2979 -2.2979 4.8556 2.2979 2.2979 -4.8556" Properties=species:S:1:pos:R:3 comment="LaHg2Sb | the Alexandria database | PBEsol | relaxed" dos_ef_per_ev_atom=0.489 energy_ev_per_atom=-3.3515 pbc="T T T"
La 0.0000 0.0000 0.0000
Hg 2.2979 0.0000 2.4278
Hg 0.0000 2.2979 2.4278
Sb 0.0000 0.0000 4.8556

Record 17
5
Lattice="4.1122 0.0000 0.0000 0.0000 4.1122 0.0000 0.0000 0.0000 4.1122" Properties=species:S:1:pos:R:3 comment="BeAsOs3 | the Alexandria database | PBEsol | relaxed" dos_ef_per_ev_atom=1.275 energy_ev_per_atom=-8.0957 pbc="T T T"
Be 0.0000 0.0000 0.0000
As 2.0561 2.0561 2.0561
Os 0.0000 0.0000 2.0561
Os 0.0000 2.0561 0.0000
Os 2.0561 0.0000 0.0000

Record 18
5
Lattice="4.5974 0.0000 0.0000 0.0000 4.5974 0.0000 0.0000 0.0000 4.5974" Properties=species:S:1:pos:R:3 comment="SiMo3Rh | the Alexandria database | PBEsol | relaxed" dos_ef_per_ev_atom=1.229 energy_ev_per_atom=-8.0402 relative_energy_ev_per_atom=0.6522 pbc="T T T"
Si 0.0000 0.0000 0.0000
Mo 0.0000 2.2987 2.2987
Mo 2.2987 0.0000 2.2987
Mo 2.2987 2.2987 0.0000
Rh 2.2987 2.2987 2.2987

Record 19
6
Lattice="0.0000 4.3291 4.3291 4.3291 0.0000 4.3291 4.3291 4.3291 0.0000" Properties=species:S:1:pos:R:3 comment="La4TaFe | the Alexandria database | PBEsol | relaxed" dos_ef_per_ev_atom=2.021 energy_ev_per_atom=-6.0151 pbc="T T T"
La 1.0829 1.0829 1.0829
La 3.2462 3.2462 1.0829
La 3.2462 1.0829 3.2462
La 1.0829 3.2462 3.2462
Ta 4.3291 4.3291 4.3291
Fe 6.4936 6.4936 6.4936

Record 20
5
Lattice="4.7528 0.0000 0.0000 0.0000 4.7528 0.0000 0.0000 0.0000 4.4044" Properties=species:S:1:pos:R:3 comment="CaCuNiAu2 | the Alexandria database | PBEsol | relaxed" dos_ef_per_ev_atom=0.362 energy_ev_per_atom=-4.0454 pbc="T T T"
Ca 0.0000 0.0000 0.0000
Cu 2.3764 2.3764 0.0000
Ni 2.3764 2.3764 2.2022
Au 0.0000 2.3764 2.2022
Au 2.3764 0.0000 2.2022

Number 1: volume 14.06 A^3/atom. Number 2: volume 36.98 A^3/atom. Number 3: volume 23.95 A^3/atom. Number 4: volume 22.85 A^3/atom. Number 5: volume 17.86 A^3/atom. Number 6: volume 15.37 A^3/atom. Number 7: volume 17.60 A^3/atom. Number 8: volume 11.62 A^3/atom. Number 9: volume 47.85 A^3/atom. Number 10: volume 16.11 A^3/atom. Number 11: volume 19.96 A^3/atom. Number 12: volume 10.50 A^3/atom. Number 13: volume 15.65 A^3/atom. Number 14: volume 19.70 A^3/atom. Number 15: volume 35.54 A^3/atom. Number 16: volume 25.64 A^3/atom. Number 17: volume 13.91 A^3/atom. Number 18: volume 19.43 A^3/atom. Number 19: volume 27.04 A^3/atom. Number 20: volume 19.90 A^3/atom.